(1)
DFT (PBE) results for a relaxed Ru2Pb crystal.

a b c (Å): 3.581 3.581 4.731
angles (deg): 90.00 90.00 90.00
Positions (direct):
Ru (0.000, 0.500, 0.000)
Ru (0.500, 0.000, 0.000)
Pb (0.000, 0.000, 0.500)

## Properties
- energy of formation from the pure elements (meV/atom) = 814
- SG = P4/mmm (123)
- total DFT energy (no corrections) (eV/atom) = -6.61
- crystal system = tetragonal
- E above lowest polymorph (meV/atom) = 404
- DOS(E_F) (states/eV per cell) = 4.75

(2)
DFT (PBE) results for a relaxed K2RbAuF crystal.

a b c (Å): 5.339 5.339 5.660
angles (deg): 90.00 90.00 90.00
Positions (direct):
K (0.000, 0.500, 0.000)
K (0.500, 0.000, 0.000)
Rb (0.000, 0.000, 0.500)
Au (0.500, 0.500, 0.500)
F (0.000, 0.000, 0.000)

## Properties
- SG = P4/mmm (123)
- total DFT energy (no corrections) (eV/atom) = -2.82
- crystal system = tetragonal
- E above lowest polymorph (meV/atom) = 0
- DOS(E_F) (states/eV per cell) = 2.92

(3)
DFT (PBE) results for a relaxed EuRh2Pb crystal.

a b c (Å): 4.622 4.622 3.712
angles (deg): 90.00 90.00 90.00
Positions (direct):
Eu (0.000, 0.000, 0.000)
Rh (0.000, 0.500, 0.500)
Rh (0.500, 0.000, 0.500)
Pb (0.500, 0.500, 0.000)

## Properties
- energy of formation from the pure elements (meV/atom) = -281
- SG = P4/mmm (123)
- total DFT energy (no corrections) (eV/atom) = -7.45
- crystal system = tetragonal
- DOS(E_F) (states/eV per cell) = 13.27

(4)
DFT (PBE) results for a relaxed CaSi2Sb crystal.

a b c (Å): 3.305 3.305 8.065
angles (deg): 90.00 90.00 90.00
Positions (direct):
Ca (0.000, 0.000, 0.000)
Si (0.500, 0.500, 0.262)
Si (0.500, 0.500, 0.738)
Sb (0.000, 0.000, 0.500)

## Properties
- SG = P4/mmm (123)
- total DFT energy (no corrections) (eV/atom) = -3.99
- crystal system = tetragonal
- DOS(E_F) (states/eV per cell) = 2.27